[1]
## BaInW2 (GGA-PBE)

Data for a geometry-optimized BaInW2 structure. Values from VASP.

As for the formation energy: 1286 meV per atom. The value obtained for the calculated density is 11.75 g/cm3. The density of states at the Fermi level comes out at 1.312 states/eV per atom.

Geometry as Quantum ESPRESSO input:
```
&SYSTEM
  ibrav = 0, nat = 4, ntyp = 3
/
ATOMIC_SPECIES
Ba 137.33 Ba.upf
In 114.82 In.upf
W 183.84 W.upf
CELL_PARAMETERS angstrom
11.119 -0.001 0.000
10.704 3.007 0.000
10.704 1.475 2.620
ATOMIC_POSITIONS crystal
Ba 0.250 0.250 0.250
In 0.750 0.750 0.750
W 0.011 0.011 0.011
W 0.489 0.489 0.489
```

[2]
## BaInW2 (GGA-PBE)

Data for a geometry-optimized BaInW2 structure. Values from VASP.

As for the formation energy: 1580 meV per atom. The value obtained for the calculated density is 11.27 g/cm3. The density of states at the Fermi level comes out at 1.128 states/eV per atom.

Geometry as Quantum ESPRESSO input:
```
&SYSTEM
  ibrav = 0, nat = 4, ntyp = 3
/
ATOMIC_SPECIES
Ba 137.33 Ba.upf
In 114.82 In.upf
W 183.84 W.upf
CELL_PARAMETERS angstrom
4.910 0.000 0.000
0.000 4.313 0.000
0.000 0.000 4.313
ATOMIC_POSITIONS crystal
Ba 0.500 0.500 0.000
In 0.500 0.000 0.500
W 0.000 0.000 0.000
W 0.000 0.500 0.500
```